(1)
First-principles (PBE) data for a relaxed structure of ZrPtPb2O6, as listed in the Alexandria database.

The space group is R-3m. Its uncorrected formation energy is -1.484 eV per atom.

Cell lengths 10.3462, 10.3462, 10.3462 Å; angles 33.02, 33.02, 33.02 degrees
Atoms (fractional coordinates):
Zr: 0.0962 0.0962 0.0962
Zr: 0.9038 0.9038 0.9038
Pt: 0.0000 0.0000 0.0000
Pt: 0.5000 0.5000 0.5000
Pb: 0.2268 0.2268 0.2268
Pb: 0.3562 0.3562 0.3562
Pb: 0.6438 0.6438 0.6438
Pb: 0.7732 0.7732 0.7732
O: 0.1212 0.1212 0.6340
O: 0.1212 0.6340 0.1212
O: 0.2185 0.6995 0.6995
O: 0.3005 0.3005 0.7815
O: 0.3005 0.7815 0.3005
O: 0.3660 0.8788 0.8788
O: 0.6340 0.1212 0.1212
O: 0.6995 0.2185 0.6995
O: 0.6995 0.6995 0.2185
O: 0.7815 0.3005 0.3005
O: 0.8788 0.3660 0.8788
O: 0.8788 0.8788 0.3660

***

(2)
First-principles (PBE) data for a relaxed structure of Pu4Pb2O, as listed in the Alexandria database.

The space group is I4/mmm. Its uncorrected formation energy is -0.712 eV per atom.

Cell lengths 8.9757, 8.9757, 8.9757 Å; angles 149.28, 149.28, 43.99 degrees
Atoms (fractional coordinates):
Pu: 0.0000 0.5000 0.5000
Pu: 0.1641 0.1641 0.0000
Pu: 0.5000 0.0000 0.5000
Pu: 0.8359 0.8359 0.0000
Pb: 0.3586 0.3586 0.0000
Pb: 0.6414 0.6414 0.0000
O: 0.0000 0.0000 0.0000

***

(3)
First-principles (PBE) data for a relaxed structure of PuPb3O8, as listed in the Alexandria database.

The space group is Pm-3m. Its uncorrected formation energy is -1.314 eV per atom.

Cell lengths 5.4281, 5.4281, 5.4281 Å; angles 90.00, 90.00, 90.00 degrees
Atoms (fractional coordinates):
Pu: 0.0000 0.0000 0.0000
Pb: 0.0000 0.5000 0.5000
Pb: 0.5000 0.0000 0.5000
Pb: 0.5000 0.5000 0.0000
O: 0.2449 0.2449 0.2449
O: 0.2449 0.2449 0.7551
O: 0.2449 0.7551 0.2449
O: 0.2449 0.7551 0.7551
O: 0.7551 0.2449 0.2449
O: 0.7551 0.2449 0.7551
O: 0.7551 0.7551 0.2449
O: 0.7551 0.7551 0.7551

***

(4)
First-principles (PBE) data for a relaxed structure of Pu2PbO, as listed in the Alexandria database.

For the energy relative to the lowest polymorph listed for this composition, the calculation gives 0.0 meV per atom. The space group is Cccm. Its uncorrected formation energy is -1.319 eV per atom.

Cell lengths 7.1397, 7.1397, 5.5938 Å; angles 90.00, 90.00, 136.59 degrees
Atoms (fractional coordinates):
Pu: 0.1469 0.3366 0.0000
Pu: 0.3366 0.1469 0.5000
Pu: 0.6634 0.8531 0.5000
Pu: 0.8531 0.6634 0.0000
Pb: 0.0000 0.5000 0.5000
Pb: 0.5000 0.0000 0.0000
O: 0.0000 0.0000 0.2500
O: 0.0000 0.0000 0.7500

***

(5)
First-principles (PBE) data for a relaxed structure of Pu2PbO6, as listed in the Alexandria database.

The space group is C2/m. Its uncorrected formation energy is -2.411 eV per atom.

Cell lengths 6.1145, 6.1145, 7.7390 Å; angles 120.32, 120.32, 41.12 degrees
Atoms (fractional coordinates):
Pu: 0.1761 0.1761 0.0985
Pu: 0.8239 0.8239 0.9015
Pb: 0.0000 0.0000 0.5000
O: 0.0061 0.0061 0.1736
O: 0.2888 0.2888 0.9272
O: 0.3422 0.3422 0.3720
O: 0.6577 0.6577 0.6280
O: 0.7112 0.7112 0.0728
O: 0.9939 0.9939 0.8264

***

(6)
First-principles (PBE) data for a relaxed structure of Pu9Pb3O2, as listed in the Alexandria database.

The space group is P-3m1. Its uncorrected formation energy is -0.729 eV per atom.

Cell lengths 6.9283, 6.9283, 8.4982 Å; angles 90.00, 90.00, 120.00 degrees
Atoms (fractional coordinates):
Pu: 0.0000 0.5000 0.0000
Pu: 0.1663 0.3326 0.6655
Pu: 0.1663 0.8337 0.6655
Pu: 0.3326 0.1663 0.3345
Pu: 0.5000 0.0000 0.0000
Pu: 0.5000 0.5000 0.0000
Pu: 0.6674 0.8337 0.6655
Pu: 0.8337 0.1663 0.3345
Pu: 0.8337 0.6674 0.3345
Pb: 0.0000 0.0000 0.0000
Pb: 0.3333 0.6667 0.3327
Pb: 0.6667 0.3333 0.6673
O: 0.3333 0.6667 0.8291
O: 0.6667 0.3333 0.1709

***

(7)
First-principles (PBE) data for a relaxed structure of Pu4PbO12, as listed in the Alexandria database.

The space group is Immm. Its uncorrected formation energy is -2.439 eV per atom.

Cell lengths 7.2151, 7.2151, 7.2151 Å; angles 110.14, 109.17, 109.11 degrees
Atoms (fractional coordinates):
Pu: 0.0000 0.0000 0.5000
Pu: 0.0000 0.5000 0.0000
Pu: 0.5000 0.0000 0.0000
Pu: 0.5000 0.5000 0.5000
Pb: 0.0000 0.0000 0.0000
O: 0.0023 0.7322 0.2700
O: 0.2438 0.0263 0.7825
O: 0.2437 0.2196 0.4633
O: 0.2438 0.4613 0.2175
O: 0.2437 0.7804 0.0241
O: 0.4622 0.7322 0.7300
O: 0.5378 0.2678 0.2700
O: 0.7563 0.2196 0.9759
O: 0.7562 0.5387 0.7825
O: 0.7563 0.7804 0.5367
O: 0.7562 0.9737 0.2175
O: 0.9977 0.2678 0.7300

***

(8)
First-principles (PBE) data for a relaxed structure of PuPbO2, as listed in the Alexandria database.

The space group is R-3m. Its uncorrected formation energy is -1.338 eV per atom.

Cell lengths 8.0502, 8.0502, 8.0502 Å; angles 25.39, 25.39, 25.39 degrees
Atoms (fractional coordinates):
Pu: 0.0000 0.0000 0.0000
Pb: 0.5000 0.5000 0.5000
O: 0.0815 0.0815 0.0815
O: 0.9185 0.9185 0.9185